A geometry-optimized Zr2CoSnH structure. Source: Alexandria via LeMat-Bulk, functional PBE.

Values from the calculation:
total DFT energy (no corrections): -33.225 eV/cell
D(E_F): 0.762 states/eV/atom

The structure in POSCAR format:
```
Zr2CoSnH
1.0
4.3848 0.0000 0.0000
0.0000 4.3848 0.0000
0.0000 0.0000 4.0244
Zr Co Sn H
2 1 1 1
Direct
0.0000 0.5000 0.0000 Zr
0.5000 0.0000 0.0000 Zr
0.0000 0.0000 0.5000 Co
0.5000 0.5000 0.5000 Sn
0.0000 0.0000 0.0000 H
```